# Ba2CoO5, optimized geometry, DFT GGA+U
# **Volume**: 16.86 A^3/atom
# **DOS at the Fermi energy**: 3.4 states/eV per cell
# **DFT total energy**: -5.795 eV per atom
# **Total moment**: 0.378 μB per atom
data_Ba2CoO5
_chemical_formula_sum 'Ba4 Co2 O10'
_cell_length_a 5.972
_cell_length_b 5.972
_cell_length_c 7.566
_cell_angle_alpha 90.00
_cell_angle_beta 90.00
_cell_angle_gamma 90.00
_symmetry_space_group_name_H-M 'I 4 m m'
_symmetry_Int_Tables_number 107
_symmetry_space_group_name_Hall 'I 4 -2'
loop_
_atom_site_label
_atom_site_type_symbol
_atom_site_fract_x
_atom_site_fract_y
_atom_site_fract_z
Ba1 Ba 0.000 0.500 0.000
Co1 Co 0.000 0.000 0.222
O1 O 0.000 0.000 0.998
O2 O 0.210 0.210 0.266